PrCdAs2Pd5 | PBE | optimized geometry

Values from the calculation:
Theoretical density = 9.04 g/cm3
Symmetry = P4/mmm (123)
Magnetic moment = 0.0 μB per cell
Volume = 172 Å³/cell
Final energy = -5.049 eV/atom
N(E_F) = 3.37 states/eV/f.u.

a = 4.706 Å, b = 4.706 Å, c = 7.756 Å
α = 90.00°, β = 90.00°, γ = 90.00°
Atoms (fractional coordinates):
1 Pr 0.000 0.000 0.500
2 Cd 0.000 0.000 0.000
3 As 0.500 0.500 0.164
4 As 0.500 0.500 0.836
5 Pd 0.000 0.500 0.256
6 Pd 0.500 0.000 0.256
7 Pd 0.000 0.500 0.744
8 Pd 0.500 0.000 0.744
9 Pd 0.500 0.500 0.500